[1]
# W2AuBr

W2AuBr after structural relaxation (PBEsol, Alexandria via LeMat-Bulk).

POSCAR file:
```
W2AuBr
1.0
-2.3422 1.6130 0.0145
-2.0331 -4.5179 -1.7464
1.3282 0.1656 5.1956
Au Br W
1 1 2
Direct
0.5000 0.0000 0.0000
0.0000 0.5000 0.0000
0.0000 0.0000 0.5000
0.5000 0.5000 0.5000
```

Output
energy relative to the elements, uncorrected	4.6	eV per formula unit
relative energy among the computed polymorphs	0.63	eV per formula unit
DFT total energy	-28.8	eV/f.u.

[2]
# PC7

PC7 after structural relaxation (PBEsol, Alexandria via LeMat-Bulk).

POSCAR file:
```
PC7
1.0
-3.2092 2.1052 -2.2046
-1.8653 -1.8957 -3.5380
-4.1682 -1.4728 0.2181
P C
1 7
Direct
0.0000 0.0000 0.0000
0.0000 0.0000 0.5000
0.0000 0.5000 0.0000
0.5000 0.0000 0.0000
0.5000 0.5000 0.0000
0.5000 0.0000 0.5000
0.0000 0.5000 0.5000
0.5000 0.5000 0.5000
```

Output
formation enthalpy at 0 K	3921	meV per atom
DFT total energy	-41.9	eV/f.u.

[3]
# Li3Ca4

Li3Ca4 after structural relaxation (PBEsol, Alexandria via LeMat-Bulk).

POSCAR file:
```
Li3Ca4
1.0
-6.1834 0.6379 -0.6347
2.5119 -5.6936 0.5642
-0.6537 0.3806 6.7509
Ca Li
4 3
Direct
0.0000 0.0000 0.7483
0.0000 0.0000 0.2517
0.3333 0.6667 0.5000
0.6667 0.3333 0.5000
0.0000 0.5000 0.0000
0.5000 0.0000 0.0000
0.5000 0.5000 0.0000
```

Output
formation enthalpy at 0 K	33	meV per atom
DFT total energy	-14.2	eV/f.u.

[4]
# SrLi2HfP

SrLi2HfP after structural relaxation (PBEsol, Alexandria via LeMat-Bulk).

POSCAR file:
```
SrLi2HfP
1.0
4.3408 0.0000 0.0000
0.0000 4.3408 0.0000
0.0000 0.0000 5.3147
Sr Li Hf P
1 2 1 1
Direct
0.0000 0.0000 0.0000
0.0000 0.5000 0.0000
0.5000 0.0000 0.0000
0.5000 0.5000 0.5000
0.0000 0.0000 0.5000
```

Output
formation enthalpy at 0 K	998	meV per atom
DFT total energy	-17.1	eV/f.u.

[5]
# SrTiIr3

SrTiIr3 after structural relaxation (PBEsol, Alexandria via LeMat-Bulk).

POSCAR file:
```
SrTiIr3
1.0
-1.3083 -2.3336 3.9467
4.5441 -1.2072 0.7925
0.6114 3.9788 2.5552
Sr Ir Ti
1 3 1
Direct
0.0000 0.0000 0.0000
0.0000 0.5000 0.0000
0.0000 0.0000 0.5000
0.5000 0.0000 0.0000
0.5000 0.5000 0.5000
```

Output
formation enthalpy at 0 K	2615	meV per atom
DFT total energy	-26.6	eV/f.u.

[6]
# KMoPt

KMoPt after structural relaxation (PBEsol, Alexandria via LeMat-Bulk).

POSCAR file:
```
KMoPt
1.0
-1.0803 2.0588 1.3788
1.0773 -1.8102 3.5469
5.4042 2.8075 -2.6076
K Mo Pt
1 1 1
Direct
0.9942 0.9942 0.9884
0.7198 0.7198 0.4397
0.2860 0.2860 0.5719
```

Output
formation enthalpy at 0 K	529	meV per atom
DFT total energy	-18.3	eV/f.u.

[7]
# SrTaNO2

SrTaNO2 after structural relaxation (PBEsol, Alexandria via LeMat-Bulk).

POSCAR file:
```
SrTaNO2
1.0
5.6630 0.0000 0.0000
0.0000 5.6781 -0.0016
0.0000 0.0054 8.1061
Sr Ta N O
4 4 4 8
Direct
0.7590 0.0088 0.7603
0.2630 0.5104 0.7611
0.2410 0.5088 0.2603
0.7370 0.0104 0.2611
0.2527 0.0020 0.0020
0.2567 0.0157 0.5173
0.7433 0.5157 0.0173
0.7473 0.5020 0.5020
0.5213 0.7709 0.0008
0.7599 0.5327 0.2663
0.4787 0.2709 0.5008
0.2401 0.0327 0.7663
0.2436 0.9530 0.2698
0.5263 0.7720 0.5389
0.0272 0.7190 0.9977
0.0292 0.7155 0.5399
0.7564 0.4530 0.7698
0.4737 0.2720 0.0389
0.9708 0.2155 0.0399
0.9728 0.2190 0.4977
```

Output
energy relative to the elements, uncorrected	-12.4	eV per formula unit
DFT total energy	-45.8	eV/f.u.

[8]
# Si2AsPtCl

Si2AsPtCl after structural relaxation (PBEsol, Alexandria via LeMat-Bulk).

POSCAR file:
```
Si2AsPtCl
1.0
-3.8468 -0.8692 2.4870
-0.9426 -3.6559 -2.7357
2.5256 -2.8334 2.9163
As Si Pt Cl
1 2 1 1
Direct
0.5000 0.5000 0.5000
0.0000 0.5000 0.0000
0.5000 0.0000 0.0000
0.0000 0.0000 0.0000
0.0000 0.0000 0.5000
```

Output
energy relative to the elements, uncorrected	2.6	eV per formula unit
DFT total energy	-23.0	eV/f.u.

[9]
# Rb2InB

Rb2InB after structural relaxation (PBEsol, Alexandria via LeMat-Bulk).

POSCAR file:
```
Rb2InB
1.0
-2.0077 -1.6463 3.3361
-4.0550 -7.6942 -3.5589
6.4541 -5.7135 3.7431
B Rb In
2 4 2
Direct
0.5000 0.0000 0.0000
0.2500 0.5000 0.5000
0.8750 0.8009 0.6991
0.3750 0.1991 0.3009
0.4259 0.6991 0.1991
0.3241 0.3009 0.8009
0.0000 0.0000 0.0000
0.7500 0.5000 0.5000
```

Output
formation enthalpy at 0 K	514	meV per atom
DFT total energy	-10.0	eV/f.u.

[10]
# SrCaAl2Tl

SrCaAl2Tl after structural relaxation (PBEsol, Alexandria via LeMat-Bulk).

POSCAR file:
```
SrCaAl2Tl
1.0
5.6676 0.0000 0.0000
0.0000 5.6676 0.0000
0.0000 0.0000 5.7963
Sr Tl Ca Al
1 1 1 2
Direct
0.0000 0.0000 0.0000
0.0000 0.0000 0.5000
0.5000 0.5000 0.5000
0.0000 0.5000 0.0000
0.5000 0.0000 0.0000
```

Output
formation enthalpy at 0 K	787	meV per atom
DFT total energy	-10.9	eV/f.u.

[11]
# TeP2Pb

TeP2Pb after structural relaxation (PBEsol, Alexandria via LeMat-Bulk).

POSCAR file:
```
TeP2Pb
1.0
-2.7944 -2.7606 -0.4146
2.4099 -2.9504 3.4028
-3.1808 2.7682 3.0067
P Pb Te
2 1 1
Direct
0.0000 0.1791 0.1593
0.0000 0.8209 0.8407
0.5000 0.0000 0.5000
0.5000 0.5000 0.0000
```

Output
energy relative to the elements, uncorrected	0.6	eV per formula unit
relative energy among the computed polymorphs	0.00	eV per formula unit
DFT total energy	-18.5	eV/f.u.

[12]
# ScCoBr2

ScCoBr2 after structural relaxation (PBEsol, Alexandria via LeMat-Bulk).

POSCAR file:
```
ScCoBr2
1.0
-3.4286 0.9890 0.3541
-1.9284 -1.1810 2.7830
0.5026 6.3298 5.3445
Sc Co Br
1 1 2
Direct
0.0000 0.0000 0.0000
0.5000 0.5000 0.5000
0.8913 0.8913 0.3260
0.1087 0.1087 0.6740
```

Output
energy relative to the elements, uncorrected	-0.6	eV per formula unit
relative energy among the computed polymorphs	2.18	eV per formula unit
DFT total energy	-18.7	eV/f.u.